Pu2AgAu: optimized geometry, GGA-PBE.

The structure belongs to space group R-3m (No. 166, hexagonal axes); the cell edges are 2.9915, 2.9915 and 34.3530 Å and the angles 90.00°, 90.00° and 120.00°. Symmetry generates all atoms from Pu at (0.0000, 0.0000, 0.0888), Ag at (0.0000, 0.0000, 0.0000) and Au at (0.0000, 0.0000, 0.5000).

The magnetic moment is 10.6 μB per formula unit.

PuAg2Au8: optimized geometry, GGA-PBE.

The structure belongs to space group C2/m (No. 12); the cell edges are 16.523, 4.963 and 5.224 Å and the angles 90.00°, 96.15° and 90.00°. Symmetry generates all atoms from Pu at (0.000, 0.000, 0.000), Ag at (0.218, 0.500, 0.385), Au at (0.050, 0.500, 0.308), Au at (0.109, 0.000, 0.543), Au at (0.125, 0.500, 0.849) and Au at (0.197, 0.000, 0.077).

The magnetic moment is 5.5 μB per formula unit.

Pu2AgAu: optimized geometry, GGA-PBE.

The structure belongs to space group P4/mmm (No. 123); the cell edges are 3.252, 3.252 and 8.844 Å and the angles 90.00°, 90.00° and 90.00°. Symmetry generates all atoms from Pu at (0.000, 0.000, 0.244), Ag at (0.500, 0.500, 0.500) and Au at (0.500, 0.500, 0.000).

The magnetic moment is 12.3 μB per formula unit.

PuAgAu: optimized geometry, GGA-PBE.

The structure belongs to space group Imm2 (No. 44); the cell edges are 3.000, 4.427 and 9.693 Å and the angles 90.00°, 90.00° and 90.00°. Symmetry generates all atoms from Pu at (0.000, 0.000, 0.000), Ag at (0.000, 0.000, 0.680) and Au at (0.000, 0.000, 0.328).

The magnetic moment is 6.0 μB per formula unit.

Pu4AgAu3: optimized geometry, GGA-PBE.

The structure belongs to space group Pmmm (No. 47); the cell edges are 3.159, 5.494 and 10.941 Å and the angles 90.00°, 90.00° and 90.00°. Symmetry generates all atoms from Pu at (0.000, 0.000, 0.000), Pu at (0.000, 0.000, 0.500), Pu at (0.000, 0.500, 0.246), Ag at (0.500, 0.500, 0.500), Au at (0.500, 0.000, 0.251) and Au at (0.500, 0.500, 0.000).

The magnetic moment is 11.9 μB per formula unit.

PuAgAu2: optimized geometry, GGA-PBE.

The structure belongs to space group P4/mmm (No. 123); the cell edges are 3.531, 3.531 and 6.772 Å and the angles 90.00°, 90.00° and 90.00°. Symmetry generates all atoms from Pu at (0.000, 0.000, 0.000), Ag at (0.000, 0.000, 0.500) and Au at (0.500, 0.500, 0.278).

The magnetic moment is 5.5 μB per formula unit.

PuAgAu2: optimized geometry, GGA-PBE.

The structure belongs to space group P4/mmm (No. 123); the cell edges are 5.241, 5.241 and 3.093 Å and the angles 90.00°, 90.00° and 90.00°. Symmetry generates all atoms from Pu at (0.000, 0.000, 0.000), Ag at (0.500, 0.500, 0.000) and Au at (0.000, 0.500, 0.500).

The magnetic moment is 6.0 μB per formula unit.

PuAgAu: optimized geometry, GGA-PBE.

The structure belongs to space group F-43m (No. 216); the cell edges are 6.811, 6.811 and 6.811 Å and the angles 90.00°, 90.00° and 90.00°. Symmetry generates all atoms from Pu at (0.000, 0.000, 0.000), Ag at (0.000, 0.000, 0.500) and Au at (0.250, 0.250, 0.250).

The magnetic moment is 5.7 μB per formula unit.

PuAgAu2: optimized geometry, GGA-PBE.

The structure belongs to space group R3m (No. 160, hexagonal axes); the cell edges are 4.2341, 4.2341 and 19.2024 Å and the angles 90.00°, 90.00° and 120.00°. Symmetry generates all atoms from Pu at (0.0000, 0.0000, 0.0000), Ag at (0.0000, 0.0000, 0.8276), Au at (0.0000, 0.0000, 0.4220) and Au at (0.0000, 0.0000, 0.5740).

The magnetic moment is 5.5 μB per formula unit.

PuAgAu: optimized geometry, GGA-PBE.

The structure belongs to space group Amm2 (No. 38); the cell edges are 3.007, 15.900 and 5.394 Å and the angles 90.00°, 90.00° and 90.00°. Symmetry generates all atoms from Pu at (0.000, 0.177, 0.000), Ag at (0.000, 0.000, 0.685), Ag at (0.500, 0.000, 0.169) and Au at (0.500, 0.148, 0.500).

The magnetic moment is 6.0 μB per formula unit.

Pu3AgAu3: optimized geometry, GGA-PBE.

The structure belongs to space group Imm2 (No. 44); the cell edges are 3.179, 4.879 and 20.476 Å and the angles 90.00°, 90.00° and 90.00°. Symmetry generates all atoms from Pu at (0.000, 0.000, 0.000), Pu at (0.000, 0.000, 0.399), Pu at (0.000, 0.500, 0.195), Ag at (0.000, 0.500, 0.767), Au at (0.000, 0.000, 0.554), Au at (0.000, 0.000, 0.841) and Au at (0.000, 0.500, 0.632).

The magnetic moment is 6.2 μB per formula unit.

PuAg2Au10: optimized geometry, GGA-PBE.

The structure belongs to space group Fmmm (No. 69); the cell edges are 5.579, 13.523 and 13.524 Å and the angles 90.00°, 90.00° and 90.00°. Symmetry generates all atoms from Pu at (0.000, 0.000, 0.000), Ag at (0.250, 0.250, 0.000), Au at (0.000, 0.107, 0.394), Au at (0.000, 0.175, 0.172) and Au at (0.250, 0.000, 0.250).

The magnetic moment is 5.7 μB per formula unit.

no.,calculated total energy (Ha/atom)
1,-0.312
2,-0.159
3,-0.325
4,-0.258
5,-0.332
6,-0.227
7,-0.225
8,-0.253
9,-0.222
10,-0.258
11,-0.303
12,-0.152